(1)
A relaxed RbBr3 crystal. Source: the Alexandria database, functional PBE.

abc: 8.261 8.261 8.261
angles: 148.63 148.63 44.96
Element x y z (fractional)
Rb  0.000  0.000  0.000
Br  0.250  0.750  0.500
Br  0.500  0.500  0.000
Br  0.750  0.250  0.500

Values from the calculation:
Its total DFT energy (no corrections) is -8.3 eV/cell. Its symmetry is No. 139.

(2)
A relaxed CrAsAu3 crystal. Source: the Alexandria database, functional PBE.

abc: 4.810 4.810 4.810
angles: 90.00 90.00 90.00
Element x y z (fractional)
Cr  0.000  0.000  0.000
As  0.500  0.500  0.500
Au  0.000  0.000  0.500
Au  0.000  0.500  0.000
Au  0.500  0.000  0.000

Values from the calculation:
Its total DFT energy (no corrections) is -18.0 eV/cell. Its symmetry is No. 221.

(3)
A relaxed PaTe2F crystal. Source: the Alexandria database, functional PBE.

abc: 7.969 7.969 7.969
angles: 30.09 30.09 30.09
Element x y z (fractional)
Pa  0.000  0.000  0.000
Te  0.575  0.575  0.575
Te  0.758  0.758  0.758
F  0.333  0.333  0.333

Values from the calculation:
Its total DFT energy (no corrections) is -24.2 eV/cell. Its symmetry is No. 160.

- total DFT energy (no corrections) of number 2 (CrAsAu3)?
  -18.0 eV/cell